No. 1
Here is a relaxed structure of PrNdI2BrN from the Open Quantum Materials Database. Energies are from GGA-PBE.

a = 9.605 Å, b = 9.605 Å, c = 12.079 Å
α = 121.53°, β = 121.53°, γ = 24.88°
Fractional coordinates of all 12 atoms:
I (0.337, 0.337, 0.981)
I (0.663, 0.663, 0.019)
I (0.949, 0.949, 0.760)
I (0.051, 0.051, 0.240)
Pr (0.871, 0.871, 0.222)
Pr (0.129, 0.129, 0.778)
Nd (0.578, 0.578, 0.462)
Nd (0.422, 0.422, 0.538)
N (0.431, 0.431, 0.351)
N (0.569, 0.569, 0.649)
Br (0.790, 0.790, 0.385)
Br (0.210, 0.210, 0.615)

Calculated values
As for the space-group type: No. 12.

No. 2
Here is a relaxed structure of NbTlFePt from the Open Quantum Materials Database. Energies are from GGA-PBE.

a = 4.605 Å, b = 4.605 Å, c = 4.605 Å
α = 60.00°, β = 60.00°, γ = 60.00°
Fractional coordinates of all 4 atoms:
Pt (0.500, 0.500, 0.500)
Nb (0.250, 0.250, 0.250)
Tl (0.000, 0.000, 0.000)
Fe (0.750, 0.750, 0.750)

Calculated values
As for the space-group type: No. 216.

Number 1: E -5.349 eV per atom, energy above the most stable polymorph in this dataset 0 meV/atom. Number 2: E -6.475 eV per atom, energy above the most stable polymorph in this dataset 124 meV/atom.